# 1
Material: LuCoCuBi
Method: DFT, PBE-GGA
State: optimized geometry

Summary:
E above lowest polymorph   0.0 kJ/mol of atoms
SG   F-43m, No. 216
Size of the total moment   0.00 μB per formula unit

```
LuCoCuBi
1.0
0.0000 3.2950 3.2950
3.2950 0.0000 3.2950
3.2950 3.2950 0.0000
Bi Co Cu Lu
1 1 1 1
direct
0.0000 0.0000 0.0000
0.2500 0.2500 0.2500
0.7500 0.7500 0.7500
0.5000 0.5000 0.5000
```

***

# 2
Material: Rb2Na2ZnP2
Method: DFT, PBE-GGA
State: optimized geometry

Summary:
E above lowest polymorph   0.0 kJ/mol of atoms
SG   R-3m, No. 166

```
Rb2Na2ZnP2
1.0
2.6486 1.5292 9.3087
-2.6486 1.5292 9.3087
0.0000 -3.0584 9.3087
Rb P Na Zn
2 2 2 1
direct
0.2084 0.2084 0.2084
0.7916 0.7916 0.7916
0.9209 0.9209 0.9209
0.0791 0.0791 0.0791
0.3842 0.3842 0.3842
0.6158 0.6158 0.6158
0.0000 0.0000 0.0000
```

***

# 3
Material: NdH2F4
Method: DFT, PBE-GGA
State: optimized geometry

Summary:
Uncorrected energy   -4.965 eV/atom
SG   Fddd, No. 70
Size of the total moment   1.00 μB per formula unit

```
NdH2F4
1.0
-2.1130 -3.7032 5.8059
-3.0405 1.7801 4.9737
-4.4644 -3.4137 0.1900
F H Nd
8 4 2
direct
0.3507 0.2886 0.9184
0.9184 0.4423 0.3507
0.2886 0.3507 0.4423
0.9614 0.8993 0.8077
0.3316 0.8077 0.8993
0.8077 0.3316 0.9614
0.8993 0.9614 0.3316
0.4423 0.9184 0.2886
0.1265 0.3735 0.1265
0.1235 0.8765 0.1235
0.8765 0.1235 0.8765
0.3735 0.1265 0.3735
0.5000 0.5000 0.5000
0.7500 0.7500 0.7500
```

***

# 4
Material: KDyFeTe3
Method: DFT, PBE-GGA
State: optimized geometry

Summary:
E above lowest polymorph   1.9 kJ/mol of atoms
SG   Pnma, No. 62
Size of the total moment   3.99 μB per formula unit

```
KDyFeTe3
1.0
-8.6175 -7.5480 -0.8389
2.6845 -2.8506 -1.9289
3.8061 -5.9038 14.0215
Dy K Te Fe
4 4 12 4
direct
0.0046 0.5000 0.2513
0.9954 0.0000 0.7487
0.5046 0.5000 0.2487
0.4954 0.0000 0.7513
0.2563 0.5000 0.5012
0.7563 0.5000 0.9988
0.7437 0.0000 0.4988
0.2437 0.0000 0.0012
0.2540 0.5000 0.1825
0.0590 0.5000 0.8792
0.2460 0.0000 0.6825
0.5590 0.5000 0.6208
0.7540 0.5000 0.3175
0.9316 0.5000 0.6186
0.4410 0.0000 0.3792
0.4316 0.5000 0.8814
0.7460 0.0000 0.8175
0.9410 0.0000 0.1208
0.5684 0.0000 0.1186
0.0684 0.0000 0.3814
0.7537 0.0000 0.2164
0.2463 0.5000 0.7836
0.2537 0.0000 0.2836
0.7463 0.5000 0.7164
```

***

# 5
Material: TbBiN2O
Method: DFT, PBE-GGA
State: optimized geometry

Summary:
Uncorrected energy   -6.279 eV/atom
SG   P6_3/mmc, No. 194
Size of the total moment   0.00 μB per formula unit

```
TbBiN2O
1.0
6.0533 0.0000 0.0000
-3.0266 5.2423 0.0000
0.0000 0.0000 14.7389
O Bi N Tb
6 6 12 6
direct
0.5169 0.4831 0.2500
0.9661 0.4831 0.2500
0.4831 0.9661 0.7500
0.5169 0.0339 0.2500
0.0339 0.5169 0.7500
0.4831 0.5169 0.7500
0.6667 0.3333 0.8624
0.3333 0.6667 0.1376
0.0000 0.0000 0.5000
0.6667 0.3333 0.6376
0.0000 0.0000 0.0000
0.3333 0.6667 0.3624
0.1414 0.8586 0.3908
0.1414 0.8586 0.1092
0.8586 0.1414 0.6092
0.7172 0.8586 0.1092
0.1414 0.2828 0.1092
0.7172 0.8586 0.3908
0.1414 0.2828 0.3908
0.2828 0.1414 0.6092
0.8586 0.7172 0.6092
0.8586 0.1414 0.8908
0.8586 0.7172 0.8908
0.2828 0.1414 0.8908
0.6667 0.3333 0.1422
0.0000 0.0000 0.2500
0.6667 0.3333 0.3578
0.3333 0.6667 0.8578
0.0000 0.0000 0.7500
0.3333 0.6667 0.6422
```

***

# 6
Material: KYAlAu
Method: DFT, PBE-GGA
State: optimized geometry

Summary:
E above lowest polymorph   0.0 kJ/mol of atoms
SG   F-43m, No. 216
Size of the total moment   0.00 μB per formula unit

```
KYAlAu
1.0
1.9416 1.8779 4.2566
-1.0679 4.7277 1.3867
-2.9853 0.8483 3.9728
K Au Y Al
1 1 1 1
direct
0.2500 0.2500 0.2500
0.7500 0.7500 0.7500
0.0000 0.0000 0.0000
0.5000 0.5000 0.5000
```

***

# 7
Material: RePPbO
Method: DFT, PBE-GGA
State: optimized geometry

Summary:
E above lowest polymorph   0.0 kJ/mol of atoms
SG   P4/nmm, No. 129
Size of the total moment   0.00 μB per formula unit

```
RePPbO
1.0
-2.9962 1.5380 -1.7803
-1.9258 0.0525 3.2864
3.7488 9.6674 2.0424
Re O Pb P
2 2 2 2
direct
0.5000 0.0000 0.5000
0.0000 0.5000 0.5000
0.5000 0.0000 0.0000
0.0000 0.5000 0.0000
0.5000 0.5000 0.8792
0.0000 0.0000 0.1208
0.0000 0.0000 0.6479
0.5000 0.5000 0.3521
```

***

# 8
Material: TlFeNiTe3
Method: DFT, PBE-GGA
State: optimized geometry

Summary:
E above lowest polymorph   0.0 kJ/mol of atoms
SG   P2_1/m, No. 11
Size of the total moment   2.25 μB per formula unit

```
TlFeNiTe3
1.0
-1.4350 -2.6544 -8.1382
1.1548 -3.5250 0.9461
-7.9000 -1.1653 5.3013
Tl Te Ni Fe
2 6 2 2
direct
0.9934 0.2500 0.7697
0.0066 0.7500 0.2303
0.3050 0.7500 0.0379
0.6950 0.2500 0.9621
0.7567 0.2500 0.3568
0.3483 0.2500 0.3702
0.2433 0.7500 0.6432
0.6517 0.7500 0.6298
0.5402 0.7500 0.3384
0.4598 0.2500 0.6616
0.5100 0.2500 0.1202
0.4900 0.7500 0.8798
```

***

# 9
Material: La2FeSi2Os
Method: DFT, PBE-GGA
State: optimized geometry

Summary:
Uncorrected energy   -7.319 eV/atom
SG   P-4m2, No. 115
Size of the total moment   0.03 μB per formula unit

```
La2FeSi2Os
1.0
4.1854 0.0000 0.0000
0.0000 4.1854 0.0000
0.0000 0.0000 7.1314
Si La Fe Os
2 2 1 1
direct
0.5000 0.0000 0.8342
0.0000 0.5000 0.1658
0.0000 0.5000 0.6837
0.5000 0.0000 0.3163
0.0000 0.0000 0.0000
0.5000 0.5000 0.0000
```

***

# 10
Material: NaHgPO
Method: DFT, PBE-GGA
State: optimized geometry

Summary:
E above lowest polymorph   33.8 kJ/mol of atoms
SG   P4/nmm, No. 129

```
NaHgPO
1.0
-3.1985 2.5843 -0.9199
0.9463 -0.2867 -4.0960
-4.3206 -5.5641 -0.6087
P O Hg Na
2 2 2 2
direct
0.7500 0.7500 0.2147
0.2500 0.2500 0.7853
0.7500 0.2500 0.0000
0.2500 0.7500 0.0000
0.7500 0.2500 0.5000
0.2500 0.7500 0.5000
0.7500 0.7500 0.8438
0.2500 0.2500 0.1562
```

***

# 11
Material: Sc4Cd3Mo2N3
Method: DFT, PBE-GGA
State: optimized geometry

Summary:
Uncorrected energy   -7.026 eV/atom
SG   C2/c, No. 15
Size of the total moment   0.00 μB per formula unit

```
Sc4Cd3Mo2N3
1.0
4.7962 -2.7972 0.0000
4.7962 2.7972 0.0000
-3.1835 0.0000 14.2733
N Sc Mo Cd
6 8 4 6
direct
0.1546 0.6731 0.5000
0.8454 0.3269 0.5000
0.0000 0.5000 0.0000
0.3269 0.8454 0.0000
0.6731 0.1546 0.0000
0.5000 0.0000 0.5000
0.3061 0.1357 0.9140
0.8643 0.6939 0.5860
0.9702 0.8059 0.9141
0.0298 0.1941 0.0859
0.1941 0.0298 0.5859
0.6939 0.8643 0.0860
0.1357 0.3061 0.4140
0.8059 0.9702 0.4141
0.5215 0.3576 0.5665
0.6424 0.4785 0.9335
0.4785 0.6424 0.4335
0.3576 0.5215 0.0665
0.2827 0.4167 0.7500
0.4167 0.2827 0.2500
0.7173 0.5833 0.2500
0.1174 0.8826 0.2500
0.5833 0.7173 0.7500
0.8826 0.1174 0.7500
```

***

# 12
Material: NaAsOsO
Method: DFT, PBE-GGA
State: optimized geometry

Summary:
E above lowest polymorph   71.8 kJ/mol of atoms
SG   P4/nmm, No. 129
Size of the total moment   0.01 μB per formula unit

```
NaAsOsO
1.0
3.5020 0.0000 0.0000
0.0000 3.5020 0.0000
0.0000 0.0000 9.3829
Na As Os O
2 2 2 2
direct
0.5000 0.5000 0.5000
0.0000 0.0000 0.5000
0.0000 0.5000 0.2585
0.5000 0.0000 0.7415
0.5000 0.0000 0.1388
0.0000 0.5000 0.8612
0.0000 0.0000 0.0000
0.5000 0.5000 0.0000
```